# 1
AlOsSe2: optimized geometry, PBE.

Output
DOS at the Fermi energy in states/eV/atom: 0.75
Formation energy without anion corrections in eV/f.u.: 0.9
Total DFT energy (no corrections) in eV per cell: -63.043

```
data_AlOsSe2
_chemical_formula_sum 'Al3 Os3 Se6'
_space_group_name_H-M_alt 'R -3 m'
_space_group_IT_number 166
_space_group_name_Hall '-R 3 2"'
_cell_length_a 3.7114
_cell_length_b 3.7114
_cell_length_c 22.9538
_cell_angle_alpha 90.00
_cell_angle_beta 90.00
_cell_angle_gamma 120.00
loop_
_atom_site_label
_atom_site_fract_x
_atom_site_fract_y
_atom_site_fract_z
_atom_site_occupancy
Al1 0.0000 0.0000 0.0000 1
Os1 0.0000 0.0000 0.5000 1
Se1 0.0000 0.0000 0.1112 1
```

***

# 2
AlOsSe: optimized geometry, PBE.

Output
DOS at the Fermi energy in states/eV/atom: 0.88
Formation energy without anion corrections in eV/f.u.: 0.8
Energy above the lowest structure with this stoichiometry in eV per atom: 0.204
Total DFT energy (no corrections) in eV per cell: -17.691

```
data_AlOsSe
_chemical_formula_sum 'Al1 Os1 Se1'
_space_group_name_H-M_alt 'P -6 m 2'
_space_group_IT_number 187
_space_group_name_Hall 'P -6 2'
_cell_length_a 4.2980
_cell_length_b 4.2980
_cell_length_c 2.9710
_cell_angle_alpha 90.00
_cell_angle_beta 90.00
_cell_angle_gamma 120.00
loop_
_atom_site_label
_atom_site_fract_x
_atom_site_fract_y
_atom_site_fract_z
_atom_site_occupancy
Al1 0.0000 0.0000 0.0000 1
Os1 0.3333 0.6667 0.5000 1
Se1 0.6667 0.3333 0.5000 1
```

***

# 3
AlOsSe: optimized geometry, PBE.

Output
DOS at the Fermi energy in states/eV/atom: 0.83
Formation energy without anion corrections in eV/f.u.: 1.4
Energy above the lowest structure with this stoichiometry in eV per atom: 0.403
Total DFT energy (no corrections) in eV per cell: -68.379

```
data_AlOsSe
_chemical_formula_sum 'Al4 Os4 Se4'
_space_group_name_H-M_alt 'F m m 2'
_space_group_IT_number 42
_space_group_name_Hall 'F 2 -2'
_cell_length_a 3.0867
_cell_length_b 4.9631
_cell_length_c 12.7520
_cell_angle_alpha 90.00
_cell_angle_beta 90.00
_cell_angle_gamma 90.00
loop_
_atom_site_label
_atom_site_fract_x
_atom_site_fract_y
_atom_site_fract_z
_atom_site_occupancy
Al1 0.0000 0.0000 0.0000 1
Os1 0.0000 0.0000 0.6506 1
Se1 0.0000 0.0000 0.3215 1
```

***

# 4
AlOsSe2: optimized geometry, PBE.

Output
DOS at the Fermi energy in states/eV/atom: 0.58
Formation energy without anion corrections in eV/f.u.: 0.7
Total DFT energy (no corrections) in eV per cell: -42.394

```
data_AlOsSe2
_chemical_formula_sum 'Al2 Os2 Se4'
_space_group_name_H-M_alt 'C 1 2/m 1'
_space_group_IT_number 12
_space_group_name_Hall '-C 2y'
_cell_length_a 6.6578
_cell_length_b 3.8524
_cell_length_c 6.3767
_cell_angle_alpha 90.00
_cell_angle_beta 110.46
_cell_angle_gamma 90.00
loop_
_atom_site_label
_atom_site_fract_x
_atom_site_fract_y
_atom_site_fract_z
_atom_site_occupancy
Al1 0.0000 0.0000 0.0000 1
Os1 0.0000 0.5000 0.5000 1
Se1 0.2364 0.0000 0.7093 1
```

***

# 5
AlOs2Se: optimized geometry, PBE.

Output
DOS at the Fermi energy in states/eV/atom: 0.83
Formation energy without anion corrections in eV/f.u.: 1.9
Energy above the lowest structure with this stoichiometry in eV per atom: 0.282
Total DFT energy (no corrections) in eV per cell: -27.786

```
data_AlOs2Se
_chemical_formula_sum 'Al1 Os2 Se1'
_space_group_name_H-M_alt 'P m m m'
_space_group_IT_number 47
_space_group_name_Hall '-P 2 2'
_cell_length_a 2.8960
_cell_length_b 4.3564
_cell_length_c 4.8461
_cell_angle_alpha 90.00
_cell_angle_beta 90.00
_cell_angle_gamma 90.00
loop_
_atom_site_label
_atom_site_fract_x
_atom_site_fract_y
_atom_site_fract_z
_atom_site_occupancy
Al1 0.0000 0.0000 0.0000 1
Os1 0.0000 0.5000 0.5000 1
Os2 0.5000 0.5000 0.0000 1
Se1 0.5000 0.0000 0.5000 1
```

***

# 6
AlOsSe2: optimized geometry, PBE.

Output
DOS at the Fermi energy in states/eV/atom: 0.74
Formation energy without anion corrections in eV/f.u.: 2.2
Total DFT energy (no corrections) in eV per cell: -39.533

```
data_AlOsSe2
_chemical_formula_sum 'Al2 Os2 Se4'
_space_group_name_H-M_alt 'C m m m'
_space_group_IT_number 65
_space_group_name_Hall '-C 2 2'
_cell_length_a 2.9171
_cell_length_b 5.3477
_cell_length_c 9.4535
_cell_angle_alpha 90.00
_cell_angle_beta 90.00
_cell_angle_gamma 90.00
loop_
_atom_site_label
_atom_site_fract_x
_atom_site_fract_y
_atom_site_fract_z
_atom_site_occupancy
Al1 0.0000 0.0000 0.0000 1
Os1 0.0000 0.0000 0.5000 1
Se1 0.0000 0.5000 0.2813 1
```

***

# 7
AlOsSe3: optimized geometry, PBE.

Output
DOS at the Fermi energy in states/eV/atom: 0.65
Formation energy without anion corrections in eV/f.u.: 5.4
Energy above the lowest structure with this stoichiometry in eV per atom: 0.489
Total DFT energy (no corrections) in eV per cell: -20.031

```
data_AlOsSe3
_chemical_formula_sum 'Al1 Os1 Se3'
_space_group_name_H-M_alt 'P m -3 m'
_space_group_IT_number 221
_space_group_name_Hall '-P 4 2 3'
_cell_length_a 4.6890
_cell_length_b 4.6890
_cell_length_c 4.6890
_cell_angle_alpha 90.00
_cell_angle_beta 90.00
_cell_angle_gamma 90.00
loop_
_atom_site_label
_atom_site_fract_x
_atom_site_fract_y
_atom_site_fract_z
_atom_site_occupancy
Al1 0.0000 0.0000 0.0000 1
Os1 0.5000 0.5000 0.5000 1
Se1 0.0000 0.0000 0.5000 1
```

***

# 8
AlOsSe3: optimized geometry, PBE.

Output
DOS at the Fermi energy in states/eV/atom: 1.24
Formation energy without anion corrections in eV/f.u.: 2.9
Energy above the lowest structure with this stoichiometry in eV per atom: 0.000
Total DFT energy (no corrections) in eV per cell: -22.476

```
data_AlOsSe3
_chemical_formula_sum 'Al1 Os1 Se3'
_space_group_name_H-M_alt 'P m -3 m'
_space_group_IT_number 221
_space_group_name_Hall '-P 4 2 3'
_cell_length_a 4.9313
_cell_length_b 4.9313
_cell_length_c 4.9313
_cell_angle_alpha 90.00
_cell_angle_beta 90.00
_cell_angle_gamma 90.00
loop_
_atom_site_label
_atom_site_fract_x
_atom_site_fract_y
_atom_site_fract_z
_atom_site_occupancy
Al1 0.0000 0.0000 0.0000 1
Os1 0.5000 0.5000 0.5000 1
Se1 0.0000 0.5000 0.5000 1
```

***

# 9
AlOsSe2: optimized geometry, PBE.

Output
DOS at the Fermi energy in states/eV/atom: 0.85
Formation energy without anion corrections in eV/f.u.: 2.5
Total DFT energy (no corrections) in eV per cell: -19.450

```
data_AlOsSe2
_chemical_formula_sum 'Al1 Os1 Se2'
_space_group_name_H-M_alt 'P m m m'
_space_group_IT_number 47
_space_group_name_Hall '-P 2 2'
_cell_length_a 3.0442
_cell_length_b 4.6959
_cell_length_c 4.7082
_cell_angle_alpha 90.00
_cell_angle_beta 90.00
_cell_angle_gamma 90.00
loop_
_atom_site_label
_atom_site_fract_x
_atom_site_fract_y
_atom_site_fract_z
_atom_site_occupancy
Al1 0.0000 0.0000 0.0000 1
Os1 0.5000 0.5000 0.0000 1
Se1 0.0000 0.5000 0.5000 1
Se2 0.5000 0.0000 0.5000 1
```

***

# 10
AlOs2Se: optimized geometry, PBE.

Output
DOS at the Fermi energy in states/eV/atom: 0.62
Formation energy without anion corrections in eV/f.u.: 1.0
Energy above the lowest structure with this stoichiometry in eV per atom: 0.052
Total DFT energy (no corrections) in eV per cell: -57.409

```
data_AlOs2Se
_chemical_formula_sum 'Al2 Os4 Se2'
_space_group_name_H-M_alt 'C 1 m 1'
_space_group_IT_number 8
_space_group_name_Hall 'C -2y'
_cell_length_a 9.2266
_cell_length_b 2.9848
_cell_length_c 4.7668
_cell_angle_alpha 90.00
_cell_angle_beta 111.90
_cell_angle_gamma 90.00
loop_
_atom_site_label
_atom_site_fract_x
_atom_site_fract_y
_atom_site_fract_z
_atom_site_occupancy
Al1 0.0000 0.0000 0.0000 1
Os1 0.0296 0.5000 0.5030 1
Os2 0.2579 0.0000 0.9258 1
Se1 0.2836 0.5000 0.3661 1
```

***

# 11
AlOsSe: optimized geometry, PBE.

Output
DOS at the Fermi energy in states/eV/atom: 0.55
Formation energy without anion corrections in eV/f.u.: 0.9
Energy above the lowest structure with this stoichiometry in eV per atom: 0.237
Total DFT energy (no corrections) in eV per cell: -35.180

```
data_AlOsSe
_chemical_formula_sum 'Al2 Os2 Se2'
_space_group_name_H-M_alt 'I m m 2'
_space_group_IT_number 44
_space_group_name_Hall 'I 2 -2'
_cell_length_a 3.1014
_cell_length_b 3.7110
_cell_length_c 8.2318
_cell_angle_alpha 90.00
_cell_angle_beta 90.00
_cell_angle_gamma 90.00
loop_
_atom_site_label
_atom_site_fract_x
_atom_site_fract_y
_atom_site_fract_z
_atom_site_occupancy
Al1 0.0000 0.0000 0.0000 1
Os1 0.0000 0.0000 0.6341 1
Se1 0.0000 0.0000 0.3268 1
```

***

# 12
Al4OsSe: optimized geometry, PBE.

Output
DOS at the Fermi energy in states/eV/atom: 0.92
Formation energy without anion corrections in eV/f.u.: 2.4
Total DFT energy (no corrections) in eV per cell: -109.278

```
data_Al4OsSe
_chemical_formula_sum 'Al16 Os4 Se4'
_space_group_name_H-M_alt 'F -4 3 m'
_space_group_IT_number 216
_space_group_name_Hall 'F -4 2 3'
_cell_length_a 7.2760
_cell_length_b 7.2760
_cell_length_c 7.2760
_cell_angle_alpha 90.00
_cell_angle_beta 90.00
_cell_angle_gamma 90.00
loop_
_atom_site_label
_atom_site_fract_x
_atom_site_fract_y
_atom_site_fract_z
_atom_site_occupancy
Al1 0.1244 0.1244 0.1244 1
Os1 0.2500 0.2500 0.7500 1
Se1 0.0000 0.0000 0.5000 1
```